Entry from Alexandria via LeMat-Bulk: a crystal of Al2CrFeCo4 relaxed with PBEsol (meta-GGA SCAN).

Results
* ΔH_f (0 K): -0.379 eV per atom

a = 3.979 Å, b = 3.979 Å, c = 6.887 Å
α = 73.21°, β = 73.21°, γ = 60.00°
Atoms (fractional coordinates):
Co  0.875  0.875  0.376
Co  0.125  0.125  0.624
Co  0.625  0.625  0.126
Co  0.375  0.375  0.874
Al  0.251  0.251  0.248
Al  0.749  0.749  0.752
Cr  0.000  0.000  0.000
Fe  0.500  0.500  0.500

Entry from Alexandria via LeMat-Bulk: a crystal of Al12Co4Cu relaxed with PBEsol (meta-GGA SCAN).

Results
* ΔH_f (0 K): -0.419 eV per atom

a = 7.958 Å, b = 8.537 Å, c = 12.281 Å
α = 106.04°, β = 90.00°, γ = 117.78°
Atoms (fractional coordinates):
Co  0.395  0.790  0.626
Co  0.906  0.813  0.001
Co  0.602  0.203  0.366
Co  0.085  0.170  0.386
Co  0.961  0.361  0.716
Co  0.597  0.633  0.276
Co  0.599  0.198  0.013
Co  0.035  0.633  0.276
Co  0.090  0.181  0.992
Co  0.912  0.824  0.606
Co  0.399  0.361  0.716
Co  0.398  0.796  0.979
Al  0.420  0.257  0.517
Al  0.837  0.257  0.517
Al  0.074  0.148  0.584
Al  0.274  0.014  0.669
Al  0.035  0.639  0.659
Al  0.576  0.737  0.475
Al  0.850  0.254  0.885
Al  0.257  0.979  0.323
Al  0.943  0.886  0.821
Al  0.054  0.108  0.171
Al  0.026  0.626  0.882
Al  0.405  0.254  0.885
Al  0.330  0.661  0.276
Al  0.923  0.846  0.408
Al  0.397  0.368  0.111
Al  0.234  0.468  0.530
Al  0.604  0.639  0.659
Al  0.722  0.979  0.323
Al  0.970  0.368  0.111
Al  0.147  0.739  0.107
Al  0.763  0.526  0.462
Al  0.700  0.399  0.227
Al  0.760  0.520  0.035
Al  0.600  0.626  0.882
Al  0.477  0.955  0.828
Al  0.666  0.333  0.716
Al  0.748  0.997  0.996
Al  0.393  0.354  0.333
Al  0.961  0.354  0.333
Al  0.160  0.737  0.475
Al  0.249  0.997  0.996
Al  0.592  0.739  0.107
Al  0.297  0.595  0.765
Al  0.237  0.474  0.957
Al  0.740  0.014  0.669
Al  0.519  0.039  0.165
Cu  0.498  0.997  0.496
Cu  0.908  0.816  0.209
Cu  0.089  0.178  0.783

Entry from Alexandria via LeMat-Bulk: a crystal of Al7Co2Cu relaxed with PBEsol (meta-GGA SCAN).

Results
* ΔH_f (0 K): -0.320 eV per atom

a = 6.226 Å, b = 6.226 Å, c = 14.522 Å
α = 90.00°, β = 90.00°, γ = 90.00°
Atoms (fractional coordinates):
Al  0.850  0.350  0.250
Al  0.000  0.000  0.888
Al  0.205  0.405  0.092
Al  0.650  0.850  0.750
Al  0.350  0.150  0.250
Al  0.850  0.350  0.750
Al  0.150  0.650  0.250
Al  0.650  0.850  0.250
Al  0.205  0.405  0.908
Al  0.595  0.205  0.908
Al  0.095  0.295  0.592
Al  0.405  0.795  0.092
Al  0.295  0.905  0.592
Al  0.905  0.705  0.592
Al  0.295  0.905  0.408
Al  0.150  0.650  0.750
Al  0.000  0.000  0.112
Al  0.405  0.795  0.908
Al  0.350  0.150  0.750
Al  0.705  0.095  0.592
Al  0.095  0.295  0.408
Al  0.905  0.705  0.408
Al  0.500  0.500  0.612
Al  0.500  0.500  0.388
Al  0.595  0.205  0.092
Al  0.795  0.595  0.908
Al  0.705  0.095  0.408
Al  0.795  0.595  0.092
Co  0.912  0.290  0.000
Co  0.790  0.412  0.500
Co  0.210  0.588  0.500
Co  0.710  0.912  0.000
Co  0.290  0.088  0.000
Co  0.588  0.790  0.500
Co  0.412  0.210  0.500
Co  0.088  0.710  0.000
Cu  0.500  0.500  0.208
Cu  0.500  0.500  0.792
Cu  0.000  0.000  0.708
Cu  0.000  0.000  0.292

Entry from Alexandria via LeMat-Bulk: a crystal of Li2AlCoCu relaxed with PBEsol (meta-GGA SCAN).

Results
* ΔH_f (0 K): 0.492 eV per atom

a = 4.175 Å, b = 4.175 Å, c = 4.522 Å
α = 90.00°, β = 90.00°, γ = 90.00°
Atoms (fractional coordinates):
Co  0.500  0.500  0.500
Li  0.000  0.500  0.000
Li  0.500  0.000  0.000
Al  0.000  0.000  0.500
Cu  0.000  0.000  0.000

Entry from Alexandria via LeMat-Bulk: a crystal of Sr2AlCoCu2O7 relaxed with PBEsol (meta-GGA SCAN).

Results
* raw formation energy: -2.009 eV per atom

a = 5.283 Å, b = 5.280 Å, c = 11.840 Å
α = 102.88°, β = 102.89°, γ = 90.00°
Atoms (fractional coordinates):
O  0.253  0.235  0.111
O  0.894  0.877  0.111
O  0.192  0.659  0.345
O  0.692  0.186  0.345
O  0.390  0.126  0.500
O  0.347  0.814  0.655
O  0.890  0.874  0.500
O  0.394  0.734  0.111
O  0.642  0.624  0.889
O  0.783  0.123  0.889
O  0.142  0.765  0.889
O  0.847  0.341  0.655
O  0.283  0.266  0.889
O  0.753  0.376  0.111
Co  0.725  0.178  0.500
Co  0.225  0.822  0.500
Cu  0.458  0.941  0.881
Cu  0.077  0.560  0.119
Cu  0.958  0.440  0.881
Cu  0.577  0.059  0.119
Al  0.018  0.000  0.000
Al  0.518  0.500  0.000
Sr  0.863  0.843  0.702
Sr  0.161  0.157  0.298
Sr  0.363  0.359  0.702
Sr  0.661  0.641  0.298

Entry from Alexandria via LeMat-Bulk: a crystal of Dy2AlCo3 relaxed with PBEsol (meta-GGA SCAN).

Results
* ΔH_f (0 K): -0.245 eV per atom

a = 4.879 Å, b = 4.879 Å, c = 4.879 Å
α = 64.99°, β = 64.99°, γ = 64.99°
Atoms (fractional coordinates):
Co  0.500  0.000  0.000
Co  0.000  0.500  0.000
Co  0.000  0.000  0.500
Al  0.000  0.000  0.000
Dy  0.628  0.628  0.628
Dy  0.372  0.372  0.372

Entry from Alexandria via LeMat-Bulk: a crystal of Dy2Al3Co relaxed with PBEsol (meta-GGA SCAN).

Results
* ΔH_f (0 K): -0.487 eV per atom

a = 5.294 Å, b = 5.294 Å, c = 5.294 Å
α = 61.43°, β = 61.43°, γ = 61.43°
Atoms (fractional coordinates):
Al  0.000  0.000  0.500
Al  0.000  0.500  0.000
Al  0.500  0.000  0.000
Co  0.000  0.000  0.000
Dy  0.626  0.626  0.626
Dy  0.374  0.374  0.374

Entry from Alexandria via LeMat-Bulk: a crystal of Dy3AlCoS7 relaxed with PBEsol (meta-GGA SCAN).

Results
* raw formation energy: -1.806 eV per atom

a = 6.064 Å, b = 9.350 Å, c = 9.350 Å
α = 120.00°, β = 90.00°, γ = 90.00°
Atoms (fractional coordinates):
Dy  0.225  0.214  0.839
Dy  0.725  0.839  0.626
Dy  0.225  0.626  0.786
Dy  0.725  0.786  0.161
Dy  0.225  0.161  0.374
Dy  0.725  0.374  0.214
S  0.999  0.917  0.439
S  0.016  0.333  0.667
S  0.999  0.522  0.083
S  0.516  0.667  0.333
S  0.319  0.875  0.098
S  0.819  0.098  0.224
S  0.319  0.902  0.776
S  0.319  0.224  0.125
S  0.499  0.083  0.561
S  0.819  0.776  0.875
S  0.999  0.561  0.478
S  0.499  0.478  0.917
S  0.499  0.439  0.522
S  0.819  0.125  0.902
Co  0.066  0.000  0.000
Co  0.566  0.000  0.000
Al  0.150  0.667  0.333
Al  0.650  0.333  0.667